## Zr4AgRh (PBE)

Data for a relaxed structure of Zr4AgRh.

Lattice parameters (Å, degrees): 5.616 5.616 5.616 60.00 60.00 60.00
Positions (direct):
Zr1 0.376 0.376 0.376
Zr2 0.376 0.376 0.872
Zr3 0.376 0.872 0.376
Zr4 0.872 0.376 0.376
Ag1 0.000 0.000 0.000
Rh1 0.750 0.750 0.750

Calculated values
ΔH_f (0 K)	0.3609	eV/atom
energy above the lowest structure with this stoichiometry	0.696	eV per atom



## K2PaRuO8 (PBE)

Data for a relaxed structure of K2PaRuO8.

Lattice parameters (Å, degrees): 5.665 6.574 5.724 90.00 90.95 90.00
Positions (direct):
K1 0.000 0.242 0.000
K2 0.000 0.758 0.000
Pa1 0.500 0.500 0.500
Ru1 0.500 0.000 0.500
O1 0.261 0.500 0.255
O2 0.279 0.000 0.273
O3 0.337 0.224 0.655
O4 0.337 0.776 0.655
O5 0.663 0.224 0.345
O6 0.663 0.776 0.345
O7 0.721 0.000 0.727
O8 0.739 0.500 0.745

Calculated values
uncorrected formation energy	-1.589	eV/atom



## BaTe2PI (PBE)

Data for a relaxed structure of BaTe2PI.

Lattice parameters (Å, degrees): 5.485 5.485 5.575 90.00 90.00 90.00
Positions (direct):
Ba1 0.000 0.000 0.000
Te1 0.000 0.500 0.500
Te2 0.500 0.000 0.500
P1 0.500 0.500 0.500
I1 0.500 0.500 0.000

Calculated values
energy above the lowest structure with this stoichiometry	0.000	eV per atom
uncorrected formation energy	-0.568	eV/atom



Number 1: E -0.5173 Ry/atom, D(E_F) 1.0440 states/eV per atom. Number 2: E -0.4881 Ry/atom, D(E_F) 0.4726 states/eV per atom. Number 3: E -0.2647 Ry/atom, D(E_F) 0.4591 states/eV per atom.